[1]
The following is a PBE calculation of a relaxed structure of Ta2CuH, from Alexandria.

Structure (POSCAR):
```
Ta2CuH
1.0
0.0000 3.0004 3.0004
3.0004 0.0000 3.0004
3.0004 3.0004 0.0000
Ta Cu H
2 1 1
direct
0.2500 0.2500 0.2500 Ta
0.7500 0.7500 0.7500 Ta
0.0000 0.0000 0.0000 Cu
0.5000 0.5000 0.5000 H
```

Calculated values
Its energy relative to the lowest polymorph listed for this composition is 306 meV/atom. The space group is No. 225. As for the crystal system: cubic.

[2]
The following is a PBE calculation of a relaxed structure of Ta2CuH2, from Alexandria.

Structure (POSCAR):
```
Ta2CuH2
1.0
-1.7493 1.7493 4.4631
1.7493 -1.7493 4.4631
1.7493 1.7493 -4.4631
Ta Cu H
2 1 2
direct
0.1559 0.1559 0.0000 Ta
0.8441 0.8441 0.0000 Ta
0.5000 0.5000 0.0000 Cu
0.2500 0.7500 0.5000 H
0.7500 0.2500 0.5000 H
```

Calculated values
The calculated total energy comes out at -34.33 eV/f.u. The space group is No. 139. As for the crystal system: tetragonal.

Magnetization readings, ordered: 0.00 0.00 Bohr magnetons per cell
DOS at the Fermi energy readings, ordered: 1.335 3.536 states/eV per cell
Calculated volume readings, ordered: 13.5 10.9 Å³/atom